Entry 1:
VASP calculation (PBE-GGA) on a geometry-optimized Pm2MgTe structure.

a = 4.013 Å, b = 4.013 Å, c = 7.077 Å
α = 90.00°, β = 90.00°, γ = 90.00°
Fractional coordinates of all 4 atoms:
Pm1 0.000 0.000 0.247
Pm2 0.000 0.000 0.753
Mg1 0.500 0.500 0.500
Te1 0.500 0.500 0.000

Results
- Energy above the lowest structure with this stoichiometry: 0.00 kcal/mol of atoms
- Formation energy without anion corrections: -0.670 eV/atom
- Spin magnetization: 0.00 μB/f.u.
- Calculated total energy: -4.23 eV/atom

---

Entry 2:
VASP calculation (PBE-GGA) on a geometry-optimized La2Cu2Pd structure.

a = 7.423 Å, b = 7.423 Å, c = 4.071 Å
α = 90.00°, β = 90.00°, γ = 90.00°
Fractional coordinates of all 10 atoms:
La1 0.180 0.320 0.000
La2 0.320 0.820 0.000
La3 0.680 0.180 0.000
La4 0.820 0.680 0.000
Cu1 0.119 0.619 0.500
Cu2 0.381 0.119 0.500
Cu3 0.619 0.881 0.500
Cu4 0.881 0.381 0.500
Pd1 0.000 0.000 0.500
Pd2 0.500 0.500 0.500

Results
- Energy above the lowest structure with this stoichiometry: 1.75 kcal/mol of atoms
- Energy of formation: -1.736 eV/f.u.
- Spin magnetization: 0.00 μB/f.u.
- Calculated total energy: -5.00 eV/atom